This record from the Alexandria database describes LaY2Ru after structural relaxation. The functional is PBE-GGA.

Summary:
* ΔE to the lowest computed polymorph: 442 meV/atom
* total DFT energy (no corrections): -26.525 eV/f.u.
* energy of formation from the pure elements: 151.6 meV per atom

Cell: 5.251 5.251 5.251 Å, 60.00 60.00 60.00°
Fractional positions:
La 0.000 0.000 0.000
Y 0.250 0.250 0.250
Y 0.500 0.500 0.500
Ru 0.750 0.750 0.750